Density functional theory data (GGA+U) for a relaxed structure of KNa2NiF6.

Output
For the calculated total energy, the calculation gives -4.147 eV/atom.

Cell: 5.6871 6.1068 10.0282 Å, 90.00 123.81 90.00°
Space group P2_1/c (No. 14)
Symmetry-distinct sites (fractional):
K 0.0000 0.0000 0.0000 (multiplicity 2)
Na 0.2158 0.0281 0.7168 (multiplicity 4)
Ni 0.5000 0.0000 0.5000 (multiplicity 2)
F 0.1872 0.1462 0.4786 (multiplicity 4)
F 0.2430 0.7393 0.8778 (multiplicity 4)
F 0.4283 0.1324 0.3051 (multiplicity 4)